# 1
Below is a relaxed structure of LaTlW2O8, with properties calculated at the PBE with a Hubbard U level. Values from VASP.

Results
For the total energy, the calculation gives -7.26 eV/atom.

Cell and atoms, written as Quantum ESPRESSO input:
```
&SYSTEM
  ibrav = 0, nat = 12, ntyp = 4
/
ATOMIC_SPECIES
La 138.91 La.upf
Tl 204.38 Tl.upf
W 183.84 W.upf
O 16.00 O.upf
CELL_PARAMETERS angstrom
2.844 1.642 8.699
-2.844 1.642 8.699
0.000 -3.284 8.699
ATOMIC_POSITIONS crystal
La 0.000 0.000 0.000
Tl 0.500 0.500 0.500
W 0.252 0.252 0.252
W 0.748 0.748 0.748
O 0.012 0.410 0.753
O 0.183 0.183 0.183
O 0.247 0.590 0.988
O 0.410 0.753 0.012
O 0.590 0.988 0.247
O 0.753 0.012 0.410
O 0.817 0.817 0.817
O 0.988 0.247 0.590
```

=====

# 2
Below is a relaxed structure of LaTl3W2O9, with properties calculated at the PBE with a Hubbard U level. Values from VASP.

Results
For the total energy, the calculation gives -6.62 eV/atom.

Cell and atoms, written as Quantum ESPRESSO input:
```
&SYSTEM
  ibrav = 0, nat = 15, ntyp = 4
/
ATOMIC_SPECIES
La 138.91 La.upf
Tl 204.38 Tl.upf
W 183.84 W.upf
O 16.00 O.upf
CELL_PARAMETERS angstrom
5.962 0.000 0.000
-2.981 5.163 0.000
0.000 0.000 7.526
ATOMIC_POSITIONS crystal
La 0.000 0.000 0.000
Tl 0.000 0.000 0.500
Tl 0.333 0.667 0.184
Tl 0.667 0.333 0.816
W 0.333 0.667 0.658
W 0.667 0.333 0.342
O 0.000 0.500 0.500
O 0.182 0.363 0.798
O 0.182 0.818 0.798
O 0.363 0.182 0.202
O 0.500 0.000 0.500
O 0.500 0.500 0.500
O 0.637 0.818 0.798
O 0.818 0.182 0.202
O 0.818 0.637 0.202
```